## 1
The following is a DFT calculation (meta-GGA SCAN) of a crystal of Ta2TlCl relaxed with PBEsol.

a b c (Å): 5.914 5.914 3.129
angles (deg): 103.69 103.69 123.60
Fractional positions:
Ta  0.000  0.500  0.000
Ta  0.500  0.000  0.000
Tl  0.000  0.000  0.000
Cl  0.500  0.500  0.000

Values from the calculation:
* theoretical density: 12666 kg/m3


## 2
The following is a DFT calculation (meta-GGA SCAN) of a crystal of Ta2TlCl relaxed with PBEsol.

a b c (Å): 5.270 5.270 5.270
angles (deg): 133.63 133.63 67.67
Fractional positions:
Ta  0.000  0.000  0.000
Ta  0.750  0.250  0.500
Tl  0.500  0.500  0.000
Cl  0.250  0.750  0.500

Values from the calculation:
* theoretical density: 13253 kg/m3


## 3
The following is a DFT calculation (meta-GGA SCAN) of a crystal of Ta2TlCl relaxed with PBEsol.

a b c (Å): 4.649 4.649 4.649
angles (deg): 60.00 60.00 60.00
Fractional positions:
Ta  0.250  0.250  0.250
Ta  0.750  0.750  0.750
Tl  0.000  0.000  0.000
Cl  0.500  0.500  0.500

Values from the calculation:
* theoretical density: 14065 kg/m3


In terms of stability, 1 leads; the second structure lies 25 meV/atom higher.


## 1
The following is a DFT calculation (meta-GGA SCAN) of a crystal of YTaCl2 relaxed with PBEsol.

a b c (Å): 3.152 3.152 8.530
angles (deg): 90.00 90.00 90.00
Fractional positions:
Y  0.000  0.000  0.000
Ta  0.500  0.500  0.723
Cl  0.000  0.000  0.556
Cl  0.500  0.500  0.202

Values from the calculation:
* theoretical density: 6675 kg/m3


## 2
The following is a DFT calculation (meta-GGA SCAN) of a crystal of YTaCl2 relaxed with PBEsol.

a b c (Å): 3.019 4.404 5.980
angles (deg): 90.00 90.00 90.00
Fractional positions:
Y  0.000  0.000  0.000
Ta  0.500  0.000  0.500
Cl  0.000  0.500  0.500
Cl  0.500  0.500  0.000

Values from the calculation:
* theoretical density: 7118 kg/m3


## 3
The following is a DFT calculation (meta-GGA SCAN) of a crystal of YTaCl2 relaxed with PBEsol.

a b c (Å): 3.132 4.161 5.787
angles (deg): 90.00 90.22 90.00
Fractional positions:
Y  0.000  0.000  0.000
Ta  0.500  0.000  0.500
Cl  0.498  0.500  0.255
Cl  0.502  0.500  0.745

Values from the calculation:
* theoretical density: 7502 kg/m3


In terms of stability, 1 leads; the second structure lies 356 meV/atom higher.


## 1
The following is a DFT calculation (meta-GGA SCAN) of a crystal of YTaCl2 relaxed with PBEsol.

a b c (Å): 5.524 5.524 5.524
angles (deg): 147.75 116.53 73.00
Fractional positions:
Y  0.000  0.000  0.000
Ta  0.500  0.500  0.000
Cl  0.273  0.773  0.500
Cl  0.727  0.227  0.500

Values from the calculation:
* theoretical density: 7146 kg/m3


## 2
The following is a DFT calculation (meta-GGA SCAN) of a crystal of YTaCl2 relaxed with PBEsol.

a b c (Å): 4.698 4.698 3.170
angles (deg): 90.00 90.00 90.00
Fractional positions:
Y  0.000  0.000  0.000
Ta  0.500  0.500  0.000
Cl  0.000  0.500  0.500
Cl  0.500  0.000  0.500

Values from the calculation:
* theoretical density: 8087 kg/m3


In terms of stability, 1 leads; the second structure lies 420 meV/atom higher.


## 1
The following is a DFT calculation (meta-GGA SCAN) of a crystal of TaZnCl2 relaxed with PBEsol.

a b c (Å): 2.981 2.981 8.826
angles (deg): 90.00 90.00 90.00
Fractional positions:
Ta  0.000  0.000  0.000
Zn  0.000  0.000  0.500
Cl  0.500  0.500  0.172
Cl  0.500  0.500  0.828

Values from the calculation:
* theoretical density: 6718 kg/m3


## 2
The following is a DFT calculation (meta-GGA SCAN) of a crystal of TaZnCl2 relaxed with PBEsol.

a b c (Å): 4.679 4.679 4.679
angles (deg): 60.00 60.00 60.00
Fractional positions:
Ta  0.000  0.000  0.000
Zn  0.750  0.750  0.750
Cl  0.250  0.250  0.250
Cl  0.500  0.500  0.500

Values from the calculation:
* theoretical density: 7274 kg/m3


In terms of stability, 1 leads; the second structure lies 867 meV/atom higher.


## 1
The following is a DFT calculation (meta-GGA SCAN) of a crystal of Tc3Cl relaxed with PBEsol.

a b c (Å): 4.433 4.433 2.832
angles (deg): 90.00 90.00 90.00
Fractional positions:
Tc  0.000  0.000  0.000
Tc  0.000  0.500  0.500
Tc  0.500  0.000  0.500
Cl  0.500  0.500  0.000

Values from the calculation:
* theoretical density: 9829 kg/m3


## 2
The following is a DFT calculation (meta-GGA SCAN) of a crystal of Tc3Cl relaxed with PBEsol.

a b c (Å): 5.317 5.317 5.317
angles (deg): 148.87 57.55 132.89
Fractional positions:
Tc  0.000  0.000  0.000
Tc  0.519  0.227  0.292
Tc  0.935  0.227  0.708
Cl  0.433  0.933  0.500

Values from the calculation:
* theoretical density: 9682 kg/m3


In terms of stability, 2 leads; the second structure lies 325 meV/atom higher.


## 1
The following is a DFT calculation (meta-GGA SCAN) of a crystal of TcTeCl relaxed with PBEsol.

a b c (Å): 4.601 4.601 4.601
angles (deg): 60.00 60.00 60.00
Fractional positions:
Tc  0.000  0.000  0.000
Te  0.250  0.250  0.250
Cl  0.500  0.500  0.500

Values from the calculation:
* theoretical density: 6293 kg/m3


## 2
The following is a DFT calculation (meta-GGA SCAN) of a crystal of TcTeCl relaxed with PBEsol.

a b c (Å): 3.299 3.299 6.983
angles (deg): 90.00 90.00 120.00
Fractional positions:
Tc  0.000  0.000  0.000
Te  0.667  0.333  0.744
Cl  0.333  0.667  0.249

Values from the calculation:
* theoretical density: 6588 kg/m3


In terms of stability, 2 leads; the second structure lies 1065 meV/atom higher.


## 1
The following is a DFT calculation (meta-GGA SCAN) of a crystal of TiTcCl3 relaxed with PBEsol.

a b c (Å): 4.776 4.776 4.776
angles (deg): 90.00 90.00 90.00
Fractional positions:
Ti  0.000  0.000  0.000
Tc  0.500  0.500  0.500
Cl  0.000  0.000  0.500
Cl  0.000  0.500  0.000
Cl  0.500  0.000  0.000

Values from the calculation:
* theoretical density: 3844 kg/m3


## 2
The following is a DFT calculation (meta-GGA SCAN) of a crystal of TiTcCl3 relaxed with PBEsol.

a b c (Å): 4.714 4.714 4.714
angles (deg): 90.00 90.00 90.00
Fractional positions:
Ti  0.000  0.000  0.000
Tc  0.500  0.500  0.500
Cl  0.000  0.500  0.500
Cl  0.500  0.000  0.500
Cl  0.500  0.500  0.000

Values from the calculation:
* theoretical density: 3999 kg/m3


In terms of stability, 1 leads; the second structure lies 294 meV/atom higher.


## 1
The following is a DFT calculation (meta-GGA SCAN) of a crystal of TcWCl2 relaxed with PBEsol.

a b c (Å): 2.774 4.258 5.423
angles (deg): 90.00 102.99 90.00
Fractional positions:
Tc  0.000  0.000  0.000
W  0.500  0.000  0.500
Cl  0.256  0.500  0.251
Cl  0.744  0.500  0.749

Values from the calculation:
* theoretical density: 9387 kg/m3


## 2
The following is a DFT calculation (meta-GGA SCAN) of a crystal of TcWCl2 relaxed with PBEsol.

a b c (Å): 4.274 4.274 4.274
angles (deg): 120.23 120.23 89.60
Fractional positions:
Tc  0.000  0.000  0.000
W  0.500  0.500  0.000
Cl  0.250  0.750  0.500
Cl  0.750  0.250  0.500

Values from the calculation:
* theoretical density: 10647 kg/m3


In terms of stability, 1 leads; the second structure lies 513 meV/atom higher.